1.
Here is a geometry-optimized Ca6Zn5Ga structure from Alexandria. Energies are from GGA-PBE.

Values from the calculation:
Energy of formation from the pure elements, eV/f.u.: -3.333
E, eV/atom: -2.062

Structure (CIF):
```
data_Ca6Zn5Ga
_chemical_formula_sum 'Ca6 Zn5 Ga1'
_cell_length_a 5.165
_cell_length_b 7.469
_cell_length_c 8.156
_cell_angle_alpha 90.00
_cell_angle_beta 71.54
_cell_angle_gamma 90.00
_symmetry_space_group_name_H-M 'P 1'
_symmetry_Int_Tables_number 1
_symmetry_space_group_name_Hall 'P 1'
loop_
_atom_site_label
_atom_site_type_symbol
_atom_site_fract_x
_atom_site_fract_y
_atom_site_fract_z
_atom_site_occupancy
Zn1 Zn 0.000 0.500 0.000 1
Zn2 Zn 0.335 0.000 0.330 1
Ca1 Ca 0.500 0.750 0.000 1
Zn3 Zn 0.333 0.500 0.333 1
Ca2 Ca 0.834 0.250 0.333 1
Zn4 Zn 0.667 0.500 0.667 1
Ca3 Ca 0.834 0.750 0.333 1
Ca4 Ca 0.166 0.750 0.667 1
Ca5 Ca 0.166 0.250 0.667 1
Ga1 Ga 0.000 0.000 0.000 1
Ca6 Ca 0.500 0.250 0.000 1
Zn5 Zn 0.665 0.000 0.670 1
```

2.
Here is a geometry-optimized CrSbP structure from Alexandria. Energies are from GGA-PBE.

Values from the calculation:
ΔE_f (raw), eV/atom: 0.191
E, eV/atom: -6.194

Structure (CIF):
```
data_CrSbP
_chemical_formula_sum 'Cr1 Sb1 P1'
_cell_length_a 4.027
_cell_length_b 4.027
_cell_length_c 4.013
_cell_angle_alpha 90.00
_cell_angle_beta 90.00
_cell_angle_gamma 120.00
_symmetry_space_group_name_H-M 'P 1'
_symmetry_Int_Tables_number 1
_symmetry_space_group_name_Hall 'P 1'
loop_
_atom_site_label
_atom_site_type_symbol
_atom_site_fract_x
_atom_site_fract_y
_atom_site_fract_z
_atom_site_occupancy
P1 P 0.667 0.333 0.167 1
Sb1 Sb 0.333 0.667 0.667 1
Cr1 Cr 0.000 0.000 0.167 1
```